This record from the Open Quantum Materials Database describes an optimized crystal structure of HoScTc. The functional is GGA-PBE.

energy relative to the elements: 0.765 eV/atom
space-group type: F-43m, No. 216

Lattice parameters (Å, degrees): 4.601 4.601 4.601 60.00 60.00 60.00
Fractional coordinates of all 3 atoms:
Tc 0.750 0.750 0.750
Sc 0.000 0.000 0.000
Ho 0.250 0.250 0.250

***

This record from the Open Quantum Materials Database describes an optimized crystal structure of Mg2W3. The functional is GGA-PBE.

space-group type: R-3c, No. 167
uncorrected energy: -73.762 eV for the cell shown

Lattice parameters (Å, degrees): 7.991 7.991 5.464 136.99 43.01 120.00
Fractional coordinates of all 10 atoms:
W 0.250 0.081 0.250
W 0.581 0.750 0.250
W 0.750 0.919 0.750
W 0.919 0.419 0.250
W 0.081 0.581 0.750
W 0.419 0.250 0.750
Mg 0.875 0.125 0.374
Mg 0.625 0.375 0.126
Mg 0.125 0.875 0.626
Mg 0.375 0.625 0.874

***

This record from the Open Quantum Materials Database describes an optimized crystal structure of PrCuIr. The functional is GGA-PBE.

energy relative to the elements: 0.477 eV/atom
relative energy among the computed polymorphs: 481.4 meV per atom
space-group type: F-43m, No. 216

Lattice parameters (Å, degrees): 4.690 4.690 4.690 60.00 60.00 60.00
Fractional coordinates of all 3 atoms:
Cu 0.250 0.250 0.250
Pr 0.000 0.000 0.000
Ir 0.750 0.750 0.750